#P
# GGA-PBE La4NiBi2, relaxed
# Volume   32.330 Å³ per atom
data_La4NiBi2
_cell_length_a 7.2418
_cell_length_b 6.7649
_cell_length_c 9.7793
_cell_angle_alpha 90.00
_cell_angle_beta 109.14
_cell_angle_gamma 90.00
_symmetry_space_group_name_H-M 'P 1 21/m 1'
_symmetry_Int_Tables_number 11
_symmetry_space_group_name_Hall '-P 2yb'
loop_
_atom_site_label
_atom_site_fract_x
_atom_site_fract_y
_atom_site_fract_z
La1 0.0189 0.0102 0.2691
La2 0.3856 0.7500 0.0868
La3 0.4345 0.7500 0.6187
Ni1 0.3349 0.7500 0.3323
Bi1 0.2246 0.2500 0.0438
Bi2 0.2641 0.2500 0.5804

***

#Q
# GGA-PBE La4NiBi2, relaxed
# Volume   33.485 Å³ per atom
data_La4NiBi2
_cell_length_a 5.1329
_cell_length_b 5.1329
_cell_length_c 17.7932
_cell_angle_alpha 90.00
_cell_angle_beta 90.00
_cell_angle_gamma 90.00
_symmetry_space_group_name_H-M 'I 4/m m m'
_symmetry_Int_Tables_number 139
_symmetry_space_group_name_Hall '-I 4 2'
loop_
_atom_site_label
_atom_site_fract_x
_atom_site_fract_y
_atom_site_fract_z
La1 0.0000 0.0000 0.1722
La2 0.0000 0.5000 0.0000
Ni1 0.0000 0.0000 0.0000
Bi1 0.0000 0.0000 0.3607

***

Which is the most stable structure? #Q is the most stable.